Material: SrCd4Tc
Method: DFT, GGA-PBE
State: optimized geometry

a b c (Å): 5.809 5.809 5.809
angles (deg): 60.00 60.00 60.00
Fractional positions:
Sr  0.000  0.000  0.000
Cd  0.376  0.376  0.376
Cd  0.376  0.376  0.871
Cd  0.376  0.871  0.376
Cd  0.871  0.376  0.376
Tc  0.750  0.750  0.750

Calculated values
- Size of the total moment: 2.8 μB per formula unit
- E: -2.362 eV per atom